Record 1
# Tb7HoIn2, optimized geometry, DFT PBE
data_Tb7HoIn2
_space_group_name_H-M_alt 'P 1'
_space_group_IT_number 1
_space_group_name_Hall 'P 1'
_cell_length_a 9.037
_cell_length_b 9.037
_cell_length_c 5.361
_cell_angle_alpha 90.00
_cell_angle_beta 90.00
_cell_angle_gamma 119.10
loop_
_atom_site_label
_atom_site_type_symbol
_atom_site_fract_x
_atom_site_fract_y
_atom_site_fract_z
Tb1 Tb 0.000 0.000 0.000
Tb2 Tb 0.199 0.439 0.000
Tb3 Tb 0.275 0.725 0.500
Tb4 Tb 0.439 0.199 0.000
Tb5 Tb 0.561 0.801 0.000
Tb6 Tb 0.725 0.275 0.500
Tb7 Tb 0.801 0.561 0.000
Ho1 Ho 0.500 0.500 0.500
In1 In 0.196 0.804 0.000
In2 In 0.804 0.196 0.000
# Calculated total energy: -3.90 eV per atom
# Formation energy from the elements: 0.348 eV per atom
# Magnetization: 0.01 μB per cell
# ρ: 6.54 g/cm³
# V: 38.3 Å³ per atom



Record 2
# SnHI2O, optimized geometry, DFT PBE
data_SnHI2O
_space_group_name_H-M_alt 'P 1'
_space_group_IT_number 1
_space_group_name_Hall 'P 1'
_cell_length_a 6.040
_cell_length_b 6.040
_cell_length_c 3.963
_cell_angle_alpha 90.00
_cell_angle_beta 90.00
_cell_angle_gamma 90.00
loop_
_atom_site_label
_atom_site_type_symbol
_atom_site_fract_x
_atom_site_fract_y
_atom_site_fract_z
Sn1 Sn 0.000 0.000 0.000
H1 H 0.500 0.500 0.500
I1 I 0.000 0.500 0.000
I2 I 0.500 0.000 0.000
O1 O 0.000 0.000 0.500
# Calculated total energy: -2.96 eV per atom
# Magnetization: 0.99 μB per cell
# Excess energy over the best structure of this formula in the dataset: 0.000 eV per atom
# ρ: 4.47 g/cm³
# V: 28.9 Å³ per atom